[1]
## Be2TlCu (GGA-PBEsol)

Data for a relaxed structure of Be2TlCu.

The space group is C2/m (No. 12) and the conventional cell measures 5.139, 8.290 and 3.059 Å, with angles of 90.00, 118.13 and 90.00 degrees. The asymmetric unit holds Be at (0.250, 0.250, 0.000), Tl at (0.000, 0.000, 0.000) and Cu at (0.000, 0.500, 0.000).

As for the formation energy: 0.570 eV/atom. For the volume, the calculation gives 114.91 Å³/cell. The value obtained for the energy above the most stable polymorph in this dataset is 102.9 meV per atom. As for the total magnetization: 0.0 μB per cell.

[2]
## BeTl2Cu (GGA-PBEsol)

Data for a relaxed structure of BeTl2Cu.

The space group is Pmmm (No. 47) and the conventional cell measures 3.549, 3.992 and 5.349 Å, with angles of 90.00, 90.00 and 90.00 degrees. The asymmetric unit holds Be at (0.000, 0.000, 0.000), Tl at (0.000, 0.500, 0.500), Tl at (0.500, 0.500, 0.000) and Cu at (0.500, 0.000, 0.500).

As for the formation energy: 0.601 eV/atom. For the volume, the calculation gives 75.77 Å³/cell. As for the total magnetization: 0.0 μB per cell.

[3]
## Be2TlCu (GGA-PBEsol)

Data for a relaxed structure of Be2TlCu.

The space group is Fm-3m (No. 225) and the conventional cell measures 5.912, 5.912 and 5.912 Å, with angles of 90.00, 90.00 and 90.00 degrees. The asymmetric unit holds Be at (0.250, 0.250, 0.250), Tl at (0.000, 0.000, 0.000) and Cu at (0.000, 0.000, 0.500).

As for the formation energy: 0.517 eV/atom. For the volume, the calculation gives 206.60 Å³/cell. The value obtained for the energy above the most stable polymorph in this dataset is 50.4 meV per atom. As for the total magnetization: 0.0 μB per cell.

[4]
## Be2TlCu (GGA-PBEsol)

Data for a relaxed structure of Be2TlCu.

The space group is P2/m (No. 10) and the conventional cell measures 2.951, 3.956 and 4.896 Å, with angles of 90.00, 98.64 and 90.00 degrees. The asymmetric unit holds Be at (0.204, 0.000, 0.322), Tl at (0.000, 0.500, 0.000) and Cu at (0.500, 0.500, 0.500).

As for the formation energy: 0.467 eV/atom. For the volume, the calculation gives 56.52 Å³/cell. The value obtained for the energy above the most stable polymorph in this dataset is 0.0 meV per atom. As for the total magnetization: 0.0 μB per cell.

[5]
## BeTl3Cu (GGA-PBEsol)

Data for a relaxed structure of BeTl3Cu.

The space group is Pm-3m (No. 221) and the conventional cell measures 5.073, 5.073 and 5.073 Å, with angles of 90.00, 90.00 and 90.00 degrees. The asymmetric unit holds Be at (0.000, 0.000, 0.000), Tl at (0.000, 0.500, 0.500) and Cu at (0.500, 0.500, 0.500).

As for the formation energy: 0.722 eV/atom. For the volume, the calculation gives 130.55 Å³/cell. As for the total magnetization: 0.0 μB per cell.

[6]
## Be2TlCu (GGA-PBEsol)

Data for a relaxed structure of Be2TlCu.

The space group is I4/mmm (No. 139) and the conventional cell measures 3.784, 3.784 and 7.303 Å, with angles of 90.00, 90.00 and 90.00 degrees. The asymmetric unit holds Be at (0.000, 0.500, 0.250), Tl at (0.000, 0.000, 0.000) and Cu at (0.000, 0.000, 0.500).

As for the formation energy: 0.494 eV/atom. For the volume, the calculation gives 104.57 Å³/cell. The value obtained for the energy above the most stable polymorph in this dataset is 27.3 meV per atom. As for the total magnetization: 0.0 μB per cell.

These records have calculated total energy values of -3.172, -2.798, -3.224, -3.274, -2.523, -3.247 eV per atom, in the order they appear.